# 1
Crystalline TlSn2BiCl8 at its relaxed geometry, computed with PBE-GGA.

## Properties
The density of states at the Fermi level comes out at 0.0 states/eV/f.u. The value obtained for the total DFT energy (no corrections) is -41.00 eV per formula unit. Its space group is P-1, No. 2.

abc: 6.5861 6.9632 9.0230
angles: 87.09 88.54 88.23
Fractional coordinates of all 12 atoms:
Tl (0.0000, 0.0000, 0.0000)
Sn (0.4908, 0.4839, 0.2492)
Sn (0.5092, 0.5161, 0.7508)
Bi (0.0000, 0.0000, 0.5000)
Cl (0.2171, 0.8118, 0.2864)
Cl (0.2470, 0.3133, 0.4633)
Cl (0.2549, 0.8551, 0.7172)
Cl (0.2868, 0.3582, 0.0377)
Cl (0.7132, 0.6418, 0.9623)
Cl (0.7451, 0.1449, 0.2828)
Cl (0.7530, 0.6867, 0.5367)
Cl (0.7829, 0.1882, 0.7136)

=====

# 2
Crystalline VSn2BiCl at its relaxed geometry, computed with PBE-GGA.

## Properties
The density of states at the Fermi level comes out at 8.0 states/eV/f.u. The value obtained for the total DFT energy (no corrections) is -17.68 eV per formula unit. Its space group is P4/mmm, No. 123.

abc: 6.0214 6.0214 5.1775
angles: 90.00 90.00 90.00
Fractional coordinates of all 5 atoms:
V (0.0000, 0.0000, 0.0000)
Sn (0.0000, 0.5000, 0.5000)
Sn (0.5000, 0.0000, 0.5000)
Bi (0.0000, 0.0000, 0.5000)
Cl (0.5000, 0.5000, 0.0000)

=====

# 3
Crystalline Sr3Bi2Cl at its relaxed geometry, computed with PBE-GGA.

## Properties
The density of states at the Fermi level comes out at 2.3 states/eV/f.u. The value obtained for the total DFT energy (no corrections) is -22.00 eV per formula unit. Its space group is Pnma, No. 62.

abc: 11.0839 4.2655 19.0026
angles: 90.00 90.00 90.00
Fractional coordinates of all 24 atoms:
Sr (0.1031, 0.2500, 0.0954)
Sr (0.1277, 0.2500, 0.7383)
Sr (0.1347, 0.7500, 0.4208)
Sr (0.3653, 0.2500, 0.9208)
Sr (0.3723, 0.7500, 0.2383)
Sr (0.3969, 0.7500, 0.5954)
Sr (0.6031, 0.2500, 0.4046)
Sr (0.6277, 0.2500, 0.7617)
Sr (0.6347, 0.7500, 0.0792)
Sr (0.8653, 0.2500, 0.5792)
Sr (0.8723, 0.7500, 0.2617)
Sr (0.8969, 0.7500, 0.9046)
Bi (0.1273, 0.2500, 0.2733)
Bi (0.1679, 0.2500, 0.5614)
Bi (0.3321, 0.7500, 0.0614)
Bi (0.3727, 0.7500, 0.7733)
Bi (0.6273, 0.2500, 0.2267)
Bi (0.6679, 0.2500, 0.9386)
Bi (0.8321, 0.7500, 0.4386)
Bi (0.8727, 0.7500, 0.7267)
Cl (0.0820, 0.2500, 0.9128)
Cl (0.4180, 0.7500, 0.4128)
Cl (0.5820, 0.2500, 0.5872)
Cl (0.9180, 0.7500, 0.0872)

=====

# 4
Crystalline Sr2Bi2Cl at its relaxed geometry, computed with PBE-GGA.

## Properties
For the relative energy among the computed polymorphs, the calculation gives 0.0 kJ per mole of atoms. The density of states at the Fermi level comes out at 2.1 states/eV/f.u. Its space group is P4/mbm, No. 127.

abc: 8.2243 8.2243 5.2134
angles: 90.00 90.00 90.00
Fractional coordinates of all 10 atoms:
Sr (0.1748, 0.3252, 0.0000)
Sr (0.3252, 0.8252, 0.0000)
Sr (0.6748, 0.1748, 0.0000)
Sr (0.8252, 0.6748, 0.0000)
Bi (0.1283, 0.6283, 0.5000)
Bi (0.3717, 0.1283, 0.5000)
Bi (0.6283, 0.8717, 0.5000)
Bi (0.8717, 0.3717, 0.5000)
Cl (0.0000, 0.0000, 0.0000)
Cl (0.5000, 0.5000, 0.0000)

=====

# 5
Crystalline SrBiCl5 at its relaxed geometry, computed with PBE-GGA.

## Properties
For the relative energy among the computed polymorphs, the calculation gives 0.0 kJ per mole of atoms. The density of states at the Fermi level comes out at 0.0 states/eV/f.u. Its space group is C2/c, No. 15.

abc: 7.4434 7.4434 10.4032
angles: 110.01 110.01 71.09
Fractional coordinates of all 14 atoms:
Sr (0.0403, 0.9597, 0.7500)
Sr (0.9597, 0.0403, 0.2500)
Bi (0.5000, 0.5000, 0.0000)
Bi (0.5000, 0.5000, 0.5000)
Cl (0.1595, 0.7814, 0.0234)
Cl (0.2119, 0.3075, 0.3678)
Cl (0.2186, 0.8405, 0.4766)
Cl (0.3075, 0.2119, 0.8678)
Cl (0.3960, 0.6040, 0.7500)
Cl (0.6040, 0.3960, 0.2500)
Cl (0.6925, 0.7881, 0.1322)
Cl (0.7814, 0.1595, 0.5234)
Cl (0.7881, 0.6925, 0.6322)
Cl (0.8405, 0.2186, 0.9766)

=====

# 6
Crystalline SrBiCl5 at its relaxed geometry, computed with PBE-GGA.

## Properties
For the relative energy among the computed polymorphs, the calculation gives 1.6 kJ per mole of atoms. The density of states at the Fermi level comes out at 0.0 states/eV/f.u. Its space group is C2/c, No. 15.

abc: 7.3170 7.3170 10.1445
angles: 106.43 106.43 89.90
Fractional coordinates of all 14 atoms:
Sr (0.0791, 0.9209, 0.7500)
Sr (0.9209, 0.0791, 0.2500)
Bi (0.0000, 0.5000, 0.0000)
Bi (0.5000, 0.0000, 0.5000)
Cl (0.1939, 0.1996, 0.5380)
Cl (0.1996, 0.1939, 0.0380)
Cl (0.2107, 0.5984, 0.8510)
Cl (0.2191, 0.7809, 0.2500)
Cl (0.4016, 0.7893, 0.6490)
Cl (0.5984, 0.2107, 0.3510)
Cl (0.7809, 0.2191, 0.7500)
Cl (0.7893, 0.4016, 0.1490)
Cl (0.8004, 0.8061, 0.9620)
Cl (0.8061, 0.8004, 0.4620)